[1]
Material: AsRu2W
Method: DFT, PBE
State: optimized geometry

## Properties
- E_tot (eV per atom) = -8.945

Unit cell a=2.8530 b=2.8530 c=25.3943 alpha=90.00 beta=90.00 gamma=120.00
Space group R-3m (No. 166, hexagonal axes)
Unique sites:
As  0.0000  0.0000  0.0000 x3
Ru  0.0000  0.0000  0.2531 x6
W  0.0000  0.0000  0.5000 x3

---

[2]
Material: Nb3SbAs
Method: DFT, PBE
State: optimized geometry

## Properties
- formation energy (no corrections) (meV per atom) = 548.1

Unit cell a=4.781 b=4.781 c=4.781 alpha=90.00 beta=90.00 gamma=90.00
Space group Pm-3m (No. 221)
Unique sites:
Nb  0.000  0.000  0.500 x3
Sb  0.500  0.500  0.500 x1
As  0.000  0.000  0.000 x1

---

[3]
Material: LiYAl2
Method: DFT, PBE
State: optimized geometry

## Properties
- E_tot (eV per atom) = -4.093

Unit cell a=9.811 b=3.305 c=5.343 alpha=90.00 beta=104.94 gamma=90.00
Space group Cm (No. 8)
Unique sites:
Li  0.000  0.000  0.000 x2
Y  0.224  0.000  0.700 x2
Al  0.240  0.500  0.202 x2
Al  0.464  0.000  0.407 x2

---

Size of the total moment values, unit μB/f.u., following the record order: 0.00, 0.00, 0.00.